1.
The following is a DFT calculation (PBE) of a relaxed structure of BaPt.

abc: 4.4234 4.4234 3.9878
angles: 90.00 90.00 120.00
Fractional coordinates of all 2 atoms:
Ba 0.0000 0.0000 0.0000
Pt 0.3333 0.6667 0.5000

Summary:
energy of formation = -1.11 eV per formula unit
DOS(E_F) = 0.14 states/eV/f.u.
SG = P-6m2
total magnetic moment = 0.000 μB/atom
uncorrected energy = -0.33339 Ry per atom

---

2.
The following is a DFT calculation (PBE) of a relaxed structure of HfTi2Ge.

abc: 7.5645 7.5645 5.3610
angles: 90.00 90.00 90.00
Fractional coordinates of all 16 atoms:
Hf 0.0000 0.0000 0.0000
Hf 0.0000 0.5000 0.2500
Hf 0.5000 0.0000 0.7500
Hf 0.5000 0.5000 0.5000
Ti 0.2117 0.2500 0.6250
Ti 0.2500 0.7117 0.8750
Ti 0.2500 0.7883 0.3750
Ti 0.2883 0.2500 0.1250
Ti 0.7117 0.7500 0.1250
Ti 0.7500 0.2117 0.3750
Ti 0.7500 0.2883 0.8750
Ti 0.7883 0.7500 0.6250
Ge 0.0000 0.0000 0.5000
Ge 0.0000 0.5000 0.7500
Ge 0.5000 0.0000 0.2500
Ge 0.5000 0.5000 0.0000

Summary:
energy of formation = 0.35 eV per formula unit
DOS(E_F) = 4.33 states/eV/f.u.
SG = I-42d
total magnetic moment = 0.000 μB/atom
uncorrected energy = -0.55142 Ry per atom

---

3.
The following is a DFT calculation (PBE) of a relaxed structure of EuAl8Fe4.

abc: 6.6914 6.6914 6.6914
angles: 98.14 98.14 135.80
Fractional coordinates of all 13 atoms:
Eu 0.0000 0.0000 0.0000
Al 0.0000 0.3397 0.3397
Al 0.0000 0.6603 0.6603
Al 0.2748 0.5000 0.7748
Al 0.3397 0.0000 0.3397
Al 0.5000 0.2748 0.7748
Al 0.5000 0.7252 0.2252
Al 0.6603 0.0000 0.6603
Al 0.7252 0.5000 0.2252
Fe 0.0000 0.0000 0.5000
Fe 0.0000 0.5000 0.0000
Fe 0.5000 0.0000 0.0000
Fe 0.5000 0.5000 0.5000

Summary:
energy of formation = -4.63 eV per formula unit
DOS(E_F) = 13.07 states/eV/f.u.
SG = I4/mmm
total magnetic moment = 0.967 μB/atom
uncorrected energy = -0.44495 Ry per atom

---

4.
The following is a DFT calculation (PBE) of a relaxed structure of LiPtI.

abc: 4.6470 5.6350 5.9358
angles: 110.72 90.80 112.73
Fractional coordinates of all 6 atoms:
Li 0.0000 0.0000 0.0000
Li 0.1190 0.9778 0.5014
Pt 0.5669 0.8730 0.2548
Pt 0.7003 0.1348 0.7336
I 0.2488 0.6206 0.7749
I 0.6279 0.3777 0.2088

Summary:
DOS(E_F) = 0.67 states/eV/f.u.
SG = P1
ΔE to the lowest computed polymorph = 24.99 kJ per mole of atoms
total magnetic moment = 0.000 μB/atom
formation energy from raw total energies = -0.322 eV per atom
uncorrected energy = -0.25654 Ry per atom

---

5.
The following is a DFT calculation (PBE) of a relaxed structure of Tm2P4Rh3.

abc: 7.6479 7.6479 7.1516
angles: 90.00 90.00 137.50
Fractional coordinates of all 18 atoms:
Tm 0.1105 0.8895 0.9174
Tm 0.3895 0.6105 0.4174
Tm 0.6105 0.3895 0.5826
Tm 0.8895 0.1105 0.0826
P 0.1846 0.8154 0.5384
P 0.1981 0.3019 0.7500
P 0.3019 0.1981 0.2500
P 0.3154 0.6846 0.0384
P 0.6846 0.3154 0.9616
P 0.6981 0.8019 0.7500
P 0.8019 0.6981 0.2500
P 0.8154 0.1846 0.4616
Rh 0.0000 0.0000 0.5000
Rh 0.0311 0.4689 0.7500
Rh 0.4689 0.0311 0.2500
Rh 0.5000 0.5000 0.0000
Rh 0.5311 0.9689 0.7500
Rh 0.9689 0.5311 0.2500

Summary:
energy of formation = -8.81 eV per formula unit
DOS(E_F) = 4.67 states/eV/f.u.
SG = Cmce
total magnetic moment = 0.000 μB/atom
uncorrected energy = -0.50180 Ry per atom

---

6.
The following is a DFT calculation (PBE) of a relaxed structure of FeSe3.

abc: 4.7983 4.7983 3.2135
angles: 90.00 90.00 90.00
Fractional coordinates of all 4 atoms:
Fe 0.0000 0.0000 0.0000
Se 0.0000 0.5000 0.5000
Se 0.5000 0.0000 0.5000
Se 0.5000 0.5000 0.0000

Summary:
DOS(E_F) = 4.54 states/eV/f.u.
SG = P4/mmm
total magnetic moment = 0.800 μB/atom
formation energy from raw total energies = 0.580 eV per atom
uncorrected energy = -0.30497 Ry per atom

---

7.
The following is a DFT calculation (PBE) of a relaxed structure of PmNdPbN.

abc: 3.6927 3.7168 15.2184
angles: 90.00 90.00 90.00
Fractional coordinates of all 8 atoms:
Pm 0.0000 0.0000 0.0000
Pm 0.5000 0.5000 0.5000
Nd 0.0000 0.0000 0.6864
Nd 0.5000 0.5000 0.1864
Pb 0.0000 0.0000 0.3441
Pb 0.5000 0.5000 0.8441
N 0.0000 0.5000 0.5924
N 0.5000 0.0000 0.0924

Summary:
DOS(E_F) = 2.06 states/eV/f.u.
SG = Imm2
total magnetic moment = 0.118 μB/atom
formation energy from raw total energies = -0.877 eV per atom
uncorrected energy = -0.46044 Ry per atom

---

8.
The following is a DFT calculation (PBE) of a relaxed structure of TaMn2Mo2.

abc: 7.0629 7.0629 2.9090
angles: 90.00 90.00 90.00
Fractional coordinates of all 10 atoms:
Ta 0.0000 0.0000 0.0000
Ta 0.5000 0.5000 0.0000
Mn 0.1367 0.3633 0.0000
Mn 0.3633 0.8633 0.0000
Mn 0.6367 0.1367 0.0000
Mn 0.8633 0.6367 0.0000
Mo 0.1644 0.6644 0.5000
Mo 0.3356 0.1644 0.5000
Mo 0.6644 0.8356 0.5000
Mo 0.8356 0.3356 0.5000

Summary:
energy of formation = 1.04 eV per formula unit
DOS(E_F) = 6.41 states/eV/f.u.
SG = P4/mbm
total magnetic moment = 0.000 μB/atom
uncorrected energy = -0.74693 Ry per atom

---

Among the records above, which one has the highest total magnetic moment? EuAl8Fe4

---

uncorrected energy of number 6 (FeSe3)? -0.30497 Ry per atom

---

Which of these has the lowest DOS(E_F)? BaPt